Record 1
SrGaTe2O | PBE | relaxed

Output
- formation energy (no corrections) (eV/atom) = -0.137
- symmetry = P4/mmm
- volume (Å³ per atom) = 36.2

Cell: 6.519 4.262 6.519 Å, 90.00 90.00 90.00°
Atoms (fractional coordinates):
Sr  0.000  0.000  0.000
Te  0.000  0.000  0.500
Te  0.500  0.000  0.000
O  0.000  0.500  0.000
Ga  0.500  0.500  0.500

Record 2
V5Ni2Ge | PBE | relaxed

Output
- symmetry = I4/mcm
- formation enthalpy at 0 K (meV/atom) = -78
- volume (Å³ per atom) = 13.3

Cell: 6.103 6.103 7.145 Å, 115.28 115.28 90.00°
Atoms (fractional coordinates):
V  0.504  0.683  0.687
V  0.817  0.996  0.313
V  0.000  0.000  0.000
V  0.500  0.500  0.000
V  0.183  0.004  0.687
V  0.683  0.183  0.687
V  0.004  0.504  0.687
V  0.317  0.817  0.313
V  0.996  0.496  0.313
V  0.496  0.317  0.313
Ni  0.133  0.367  0.000
Ni  0.633  0.133  0.000
Ni  0.367  0.867  0.000
Ni  0.867  0.633  0.000
Ge  0.750  0.750  0.500
Ge  0.250  0.250  0.500

Record 3
Hf2InTcH | PBE | relaxed

Output
- symmetry = P4/mmm
- uncorrected energy (eV/atom) = -7.50
- volume (Å³ per atom) = 15.8

Cell: 4.521 4.521 3.872 Å, 90.00 90.00 90.00°
Atoms (fractional coordinates):
H  0.000  0.000  0.000
Hf  0.000  0.500  0.000
Hf  0.500  0.000  0.000
Tc  0.000  0.000  0.500
In  0.500  0.500  0.500

Copy entry 1 word for word.
SrGaTe2O | PBE | relaxed

Output
- formation energy (no corrections) (eV/atom) = -0.137
- symmetry = P4/mmm
- volume (Å³ per atom) = 36.2

Cell: 6.519 4.262 6.519 Å, 90.00 90.00 90.00°
Atoms (fractional coordinates):
Sr  0.000  0.000  0.000
Te  0.000  0.000  0.500
Te  0.500  0.000  0.000
O  0.000  0.500  0.000
Ga  0.500  0.500  0.500

- Look up the volume of the third one.
  15.8 Å³ per atom